A plane-wave DFT calculation with PBE was carried out for crystalline BeSnBi2 at its relaxed geometry.

Calculated values
- formation enthalpy at 0 K (eV/atom) = 0.20
- magnetization (μB per formula unit) = 0.00

abc: 7.7926 7.7926 7.7926
angles: 132.25 132.25 69.84
Last column: nearest neighbours and their distance in Å.
Fractional coordinates of all 8 atoms:
Be1 0.0000 0.0000 0.0000  4 Bi 2.56
Be2 0.7500 0.2500 0.5000  4 Bi 2.56
Sn1 0.2500 0.7500 0.5000  4 Bi 2.96
Sn2 0.5000 0.5000 0.0000  4 Bi 2.96
Bi1 0.0686 0.6250 0.9436  2 Be 2.56
Bi2 0.3750 0.3186 0.4436  2 Be 2.56
Bi3 0.6814 0.1250 0.0564  2 Be 2.56
Bi4 0.8750 0.9314 0.5564  2 Be 2.56

A plane-wave DFT calculation with PBE was carried out for crystalline NaHPd at its relaxed geometry.

Calculated values
- VASP energy (eV per atom) = -3.491
- magnetization (μB per formula unit) = 0.00

abc: 3.1479 3.4600 3.8508
angles: 90.00 90.00 90.00
Last column: nearest neighbours and their distance in Å.
Fractional coordinates of all 3 atoms:
Na1 0.0000 0.0000 0.0000  4 H 2.49
H1 0.5000 0.0000 0.5000  2 Pd 1.73
Pd1 0.5000 0.5000 0.5000  2 H 1.73

A plane-wave DFT calculation with PBE was carried out for crystalline ReNiPb3 at its relaxed geometry.

Calculated values
- formation enthalpy at 0 K (eV/atom) = 1.06
- magnetization (μB per formula unit) = 0.00

abc: 5.3185 5.3185 5.3185
angles: 90.00 90.00 90.00
Last column: nearest neighbours and their distance in Å.
Fractional coordinates of all 5 atoms:
Re1 0.0000 0.0000 0.0000  6 Pb 2.66
Ni1 0.5000 0.5000 0.5000  12 Pb 3.76
Pb1 0.0000 0.0000 0.5000  2 Re 2.66
Pb2 0.0000 0.5000 0.0000  2 Re 2.66
Pb3 0.5000 0.0000 0.0000  2 Re 2.66

A plane-wave DFT calculation with PBE was carried out for crystalline CrTeMo at its relaxed geometry.

Calculated values
- uncorrected formation energy (eV/atom) = 0.2461
- magnetization (μB per formula unit) = 0.02

abc: 4.2220 4.2220 4.2220
angles: 60.00 60.00 60.00
Last column: nearest neighbours and their distance in Å.
Fractional coordinates of all 3 atoms:
Cr1 0.0000 0.0000 0.0000  4 Mo 2.59, 4 Te 2.59
Te1 0.2500 0.2500 0.2500  4 Cr 2.59
Mo1 0.7500 0.7500 0.7500  4 Cr 2.59